No. 1
The following is a PBE calculation of crystalline Pm4Hg at its relaxed geometry, from Alexandria via LeMat-Bulk.

Unit cell a=6.431 b=8.977 c=6.090 alpha=90.00 beta=112.11 gamma=90.00
Element x y z (fractional)
Pm1 0.192 0.157 0.059
Pm2 0.192 0.843 0.559
Pm3 0.248 0.422 0.513
Pm4 0.248 0.578 0.013
Pm5 0.752 0.422 0.987
Pm6 0.752 0.578 0.487
Pm7 0.808 0.157 0.441
Pm8 0.808 0.843 0.941
Hg1 0.500 0.126 0.750
Hg2 0.500 0.874 0.250

Properties
- D(E_F): 13.2 states/eV per cell
- Symmetry: P2/c, No. 13
- Energy relative to the elements: -0.06 eV per atom
- Calculated density: 7.96 g/cm3
- Energy relative to the lowest polymorph listed for this composition: 118 meV/atom
- Total moment: 0.00 Bohr magnetons per cell

---

No. 2
The following is a PBE calculation of crystalline Be3GaRe at its relaxed geometry, from Alexandria via LeMat-Bulk.

Unit cell a=4.282 b=4.282 c=4.282 alpha=90.00 beta=90.00 gamma=90.00
Element x y z (fractional)
Be1 0.000 0.000 0.500
Be2 0.000 0.500 0.000
Be3 0.500 0.000 0.000
Ga1 0.500 0.500 0.500
Re1 0.000 0.000 0.000

Properties
- D(E_F): 3.1 states/eV per cell
- Symmetry: Pm-3m, No. 221
- Energy relative to the elements: 1.05 eV per atom
- Calculated density: 5.98 g/cm3
- Energy relative to the lowest polymorph listed for this composition: 0 meV/atom
- Total moment: 0.00 Bohr magnetons per cell

---

No. 3
The following is a PBE calculation of crystalline Ce2ThSi at its relaxed geometry, from Alexandria via LeMat-Bulk.

Unit cell a=4.548 b=4.548 c=4.826 alpha=90.00 beta=90.00 gamma=90.00
Element x y z (fractional)
Ce1 0.000 0.500 0.000
Ce2 0.500 0.000 0.000
Th1 0.000 0.000 0.500
Si1 0.500 0.500 0.500

Properties
- D(E_F): 9.5 states/eV per cell
- Symmetry: P4/mmm, No. 123
- Calculated density: 8.99 g/cm3
- Energy relative to the lowest polymorph listed for this composition: 77 meV/atom
- Total moment: 1.14 Bohr magnetons per cell

---

No. 4
The following is a PBE calculation of crystalline LaNd2ThBi4 at its relaxed geometry, from Alexandria via LeMat-Bulk.

Unit cell a=7.998 b=4.633 c=8.024 alpha=90.00 beta=109.47 gamma=90.00
Element x y z (fractional)
La1 0.000 0.000 0.000
Nd1 0.500 0.000 0.500
Nd2 0.500 0.500 0.000
Th1 0.000 0.500 0.500
Bi1 0.250 0.000 0.747
Bi2 0.252 0.500 0.254
Bi3 0.748 0.500 0.746
Bi4 0.750 0.000 0.253

Properties
- D(E_F): 1.8 states/eV per cell
- Symmetry: P2/m, No. 10
- Energy relative to the elements: -0.90 eV per atom
- Calculated density: 8.86 g/cm3
- Total moment: 0.00 Bohr magnetons per cell

---

Repeat the first record exactly.
The following is a PBE calculation of crystalline Pm4Hg at its relaxed geometry, from Alexandria via LeMat-Bulk.

Unit cell a=6.431 b=8.977 c=6.090 alpha=90.00 beta=112.11 gamma=90.00
Element x y z (fractional)
Pm1 0.192 0.157 0.059
Pm2 0.192 0.843 0.559
Pm3 0.248 0.422 0.513
Pm4 0.248 0.578 0.013
Pm5 0.752 0.422 0.987
Pm6 0.752 0.578 0.487
Pm7 0.808 0.157 0.441
Pm8 0.808 0.843 0.941
Hg1 0.500 0.126 0.750
Hg2 0.500 0.874 0.250

Properties
- D(E_F): 13.2 states/eV per cell
- Symmetry: P2/c, No. 13
- Energy relative to the elements: -0.06 eV per atom
- Calculated density: 7.96 g/cm3
- Energy relative to the lowest polymorph listed for this composition: 118 meV/atom
- Total moment: 0.00 Bohr magnetons per cell

---

Q: What is the formula in the third record?
A: Ce2ThSi

---

Q: calculated density of number 3 (Ce2ThSi)?
A: 8.99 g/cm3